## KPrHfWO6 (PBE with a Hubbard U)

Data for a relaxed KPrHfWO6 crystal.

a = 5.7936 Å, b = 5.7936 Å, c = 5.7936 Å
α = 60.00°, β = 60.00°, γ = 60.00°
Atoms (fractional coordinates):
K: 0.0000 0.0000 0.0000
Pr: 0.5000 0.5000 0.5000
Hf: 0.7500 0.7500 0.7500
W: 0.2500 0.2500 0.2500
O: 0.0009 0.0009 0.4991
O: 0.0009 0.4991 0.0009
O: 0.0009 0.4991 0.4991
O: 0.4991 0.0009 0.0009
O: 0.4991 0.0009 0.4991
O: 0.4991 0.4991 0.0009

Computed properties:
DOS(E_F): 3.26 states/eV/f.u.
Uncorrected energy: -79.006 eV for the cell shown